1.
Cs2U3Te8 after structural relaxation. Source: Alexandria via LeMat-Bulk, functional PBE.

**Formation energy from raw total energies**: -0.6883 eV/atom

abc: 10.600 18.983 5.239
angles: 90.00 90.00 90.00
Space group Cmmm (No. 65)
Symmetry-distinct sites (fractional):
Cs1 0.000 0.245 0.000 [4 per cell]
U1 0.000 0.500 0.000 [2 per cell]
U2 0.222 0.000 0.500 [4 per cell]
Te1 0.000 0.100 0.500 [4 per cell]
Te2 0.000 0.410 0.500 [4 per cell]
Te3 0.241 0.406 0.000 [8 per cell]



2.
MgPPb2Se after structural relaxation. Source: Alexandria via LeMat-Bulk, functional PBE.

**Formation energy from raw total energies**: 0.3725 eV/atom

abc: 5.731 5.731 4.827
angles: 90.00 90.00 90.00
Space group P4/mmm (No. 123)
Symmetry-distinct sites (fractional):
Mg1 0.000 0.000 0.000 [1 per cell]
P1 0.500 0.500 0.000 [1 per cell]
Pb1 0.000 0.500 0.500 [2 per cell]
Se1 0.000 0.000 0.500 [1 per cell]



3.
SrCdPd after structural relaxation. Source: Alexandria via LeMat-Bulk, functional PBE.

**Formation energy**: -504 meV per atom

abc: 4.7105 4.7105 4.2559
angles: 90.00 90.00 120.00
Space group P-6m2 (No. 187)
Symmetry-distinct sites (fractional):
Sr1 0.0000 0.0000 0.0000 [1 per cell]
Cd1 0.6667 0.3333 0.5000 [1 per cell]
Pd1 0.3333 0.6667 0.5000 [1 per cell]



4.
Pr5Gd after structural relaxation. Source: Alexandria via LeMat-Bulk, functional PBE.

**Formation energy**: 10 meV per atom

abc: 5.222 15.680 5.232
angles: 90.00 90.00 90.00
Space group Cmmm (No. 65)
Symmetry-distinct sites (fractional):
Pr1 0.000 0.000 0.000 [2 per cell]
Pr2 0.000 0.166 0.500 [4 per cell]
Pr3 0.000 0.334 0.000 [4 per cell]
Gd1 0.000 0.500 0.500 [2 per cell]



5.
Dy3Tl3CrSe8 after structural relaxation. Source: Alexandria via LeMat-Bulk, functional PBE.

**Formation energy from raw total energies**: -1.1421 eV/atom

abc: 8.1334 8.1334 23.1474
angles: 90.00 90.00 120.00
Space group R-3m (No. 166, hexagonal axes)
Symmetry-distinct sites (fractional):
Dy1 0.0000 0.5000 0.0000 [9 per cell]
Tl1 0.0000 0.5000 0.5000 [9 per cell]
Cr1 0.0000 0.0000 0.0000 [3 per cell]
Se1 0.0000 0.0000 0.2635 [6 per cell]
Se2 0.0285 0.5142 0.7310 [18 per cell]



6.
SrPt3C after structural relaxation. Source: Alexandria via LeMat-Bulk, functional PBE.

**Energy above the lowest structure with this stoichiometry**: 2998.8 meV/atom
**Formation energy**: 2969 meV per atom

abc: 5.240 5.240 5.240
angles: 90.00 90.00 90.00
Space group Pm-3m (No. 221)
Symmetry-distinct sites (fractional):
Sr1 0.000 0.000 0.000 [1 per cell]
Pt1 0.000 0.000 0.500 [3 per cell]
C1 0.500 0.500 0.500 [1 per cell]



7.
PaPbW after structural relaxation. Source: Alexandria via LeMat-Bulk, functional PBE.

**Formation energy**: 121 meV per atom

abc: 3.214 3.214 27.993
angles: 90.00 90.00 90.00
Space group I4/mmm (No. 139)
Symmetry-distinct sites (fractional):
Pa1 0.000 0.000 0.151 [4 per cell]
Pb1 0.000 0.000 0.444 [4 per cell]
W1 0.000 0.000 0.277 [4 per cell]



8.
La3Pm after structural relaxation. Source: Alexandria via LeMat-Bulk, functional PBE.

**Formation energy**: 128 meV per atom

abc: 8.383 8.383 8.383
angles: 90.00 90.00 90.00
Space group Fm-3m (No. 225)
Symmetry-distinct sites (fractional):
La1 0.000 0.000 0.000 [4 per cell]
La2 0.250 0.250 0.250 [8 per cell]
Pm1 0.000 0.000 0.500 [4 per cell]



| no. | calculated total energy (eV per atom) | spin magnetization (μB/f.u.) |
| --- | --- | --- |
| 1 | -5.358 | 4.6 |
| 2 | -3.209 | 0.0 |
| 3 | -3.101 | 0.0 |
| 4 | -6.320 | 7.4 |
| 5 | -5.036 | 2.4 |
| 6 | -2.837 | 0.0 |
| 7 | -8.598 | 0.0 |
| 8 | -4.755 | 1.8 |